(1)
Sm3Dy6Th (PBE-GGA, optimized geometry); excess energy over the best structure of this formula in the dataset = 221.9 meV/atom; Fermi-level density of states = 19.455 states/eV per cell; ΔH_f (0 K) = 3.0 eV/f.u.
1.0
4.9436 2.8542 3.9217
-4.9436 2.8542 3.9217
0.0000 -5.7084 3.9217
Sm Dy Th
3 6 1
direct
0.0000 0.0000 0.0000
0.2429 0.2429 0.2429
0.7571 0.7571 0.7571
0.0000 0.6682 0.3318
0.1728 0.5000 0.8272
0.3318 0.0000 0.6682
0.5000 0.8272 0.1728
0.6682 0.3318 0.0000
0.8272 0.1728 0.5000
0.5000 0.5000 0.5000



(2)
CePaMn2 (PBE-GGA, optimized geometry); Fermi-level density of states = 6.632 states/eV per cell; ΔH_f (0 K) = 0.4 eV/f.u.
1.0
2.1176 1.2226 4.9948
-2.1176 1.2226 4.9948
0.0000 -2.4452 4.9948
Ce Pa Mn
1 1 2
direct
0.0000 0.0000 0.0000
0.5000 0.5000 0.5000
0.2128 0.2128 0.2128
0.7872 0.7872 0.7872



(3)
RbNaNiBr4 (PBE-GGA, optimized geometry); Fermi-level density of states = 1.194 states/eV per cell; E_form (uncorrected) = -1.036 eV per atom
1.0
6.6014 0.0000 0.0000
0.0000 7.6299 0.0000
-2.7565 0.0000 9.2430
Rb Na Ni Br
2 2 2 8
direct
0.2417 0.2500 0.0614
0.7583 0.7500 0.9386
0.1671 0.2500 0.5184
0.8329 0.7500 0.4816
0.2368 0.7500 0.3138
0.7632 0.2500 0.6862
0.0124 0.0112 0.7189
0.0124 0.4888 0.7189
0.3318 0.7500 0.0935
0.4297 0.7500 0.5614
0.5703 0.2500 0.4386
0.6682 0.2500 0.9065
0.9876 0.5112 0.2811
0.9876 0.9888 0.2811



(4)
ZnSi2Mo (PBE-GGA, optimized geometry); Fermi-level density of states = 2.453 states/eV per cell; E_form (uncorrected) = 0.271 eV per atom
1.0
2.7191 0.0000 0.0000
0.0000 2.7191 0.0000
0.0000 0.0000 7.9219
Zn Si Mo
1 2 1
direct
0.0000 0.0000 0.0000
0.0000 0.0000 0.5008
0.5000 0.5000 0.7464
0.5000 0.5000 0.2608



(5)
La3Zn3Ag8 (PBE-GGA, optimized geometry); Fermi-level density of states = 8.511 states/eV per cell; ΔH_f (0 K) = -3.5 eV/f.u.
1.0
8.1925 -2.3787 0.0000
8.1925 2.3787 0.0000
-5.2088 0.0000 7.7953
La Zn Ag
3 3 8
direct
0.0000 0.0000 0.0000
0.2938 0.2938 0.2938
0.7062 0.7062 0.7062
0.0000 0.0000 0.5000
0.3360 0.3360 0.6871
0.6640 0.6640 0.3129
0.1274 0.1274 0.8370
0.1339 0.1339 0.4171
0.3398 0.3398 0.9735
0.4973 0.4973 0.6743
0.5027 0.5027 0.3257
0.6602 0.6602 0.0265
0.8661 0.8661 0.5829
0.8726 0.8726 0.1630



(6)
YFe2Sb (PBE-GGA, optimized geometry); Fermi-level density of states = 3.223 states/eV per cell; E_form (uncorrected) = 0.121 eV per atom
1.0
0.0000 3.3458 3.3458
3.3458 0.0000 3.3458
3.3458 3.3458 0.0000
Y Fe Sb
1 2 1
direct
0.0000 0.0000 0.0000
0.2500 0.2500 0.2500
0.5000 0.5000 0.5000
0.7500 0.7500 0.7500



(7)
Ca2SbCl (PBE-GGA, optimized geometry); E_form (uncorrected) = -1.467 eV per atom
1.0
4.5254 0.0000 0.0000
0.0000 6.0044 0.0000
0.0000 0.0000 4.4904
Ca Sb Cl
2 1 1
direct
0.0000 0.0000 0.0000
0.5000 0.5000 0.4087
0.0000 0.5000 0.9007
0.5000 0.0000 0.3908



(8)
Tb3Nd2Er6Tm (PBE-GGA, optimized geometry); Fermi-level density of states = 15.058 states/eV per cell; ΔH_f (0 K) = 0.2 eV/f.u.
1.0
3.0726 -5.3183 0.0000
3.0726 5.3183 0.0000
-2.0399 0.0000 11.5497
Tb Nd Er Tm
3 2 6 1
direct
0.0000 0.0000 0.0000
0.3334 0.6666 0.0000
0.6666 0.3334 0.0000
0.1664 0.8336 0.5000
0.8336 0.1664 0.5000
0.0834 0.4159 0.2485
0.2519 0.2519 0.7520
0.4159 0.0834 0.2485
0.5841 0.9166 0.7515
0.7481 0.7481 0.2480
0.9166 0.5841 0.7515
0.5000 0.5000 0.5000



(9)
Tb2SmSc (PBE-GGA, optimized geometry); excess energy over the best structure of this formula in the dataset = 0.0 meV/atom; Fermi-level density of states = 6.829 states/eV per cell; ΔH_f (0 K) = 0.1 eV/f.u.
1.0
3.0577 -1.7677 0.0000
3.0577 1.7677 0.0000
-2.0336 0.0000 11.3093
Tb Sm Sc
2 1 1
direct
0.0000 0.0000 0.0000
0.1592 0.1592 0.4753
0.5790 0.5790 0.7381
0.7455 0.7455 0.2363



(10)
K2HfH2S4 | PBE-GGA | optimized geometry

POSCAR file:
```
K2HfH2S4
1.0
8.2510 -1.7163 0.0000
8.2510 1.7163 0.0000
-2.7938 0.0000 6.5957
K Hf H S
2 1 2 4
direct
0.1390 0.1390 0.1157
0.8610 0.8610 0.8843
0.0000 0.0000 0.5000
0.3180 0.3180 0.3674
0.6820 0.6820 0.6326
0.1745 0.1745 0.6731
0.4961 0.4961 0.7483
0.5039 0.5039 0.2517
0.8255 0.8255 0.3269
```



(11)
U2Ga2Co5Si (PBE-GGA, optimized geometry); Fermi-level density of states = 24.048 states/eV per cell; E_form (uncorrected) = -0.157 eV per atom
1.0
10.1241 0.0000 0.0000
0.0000 10.1241 0.0000
0.0000 0.0000 2.7511
U Ga Co Si
4 4 10 2
direct
0.1695 0.3305 0.0000
0.3305 0.8305 0.0000
0.6695 0.1695 0.0000
0.8305 0.6695 0.0000
0.1347 0.6347 0.0000
0.3653 0.1347 0.0000
0.6347 0.8653 0.0000
0.8653 0.3653 0.0000
0.0000 0.5000 0.5000
0.0482 0.8163 0.5000
0.1837 0.0482 0.5000
0.3163 0.5482 0.5000
0.4518 0.3163 0.5000
0.5000 0.0000 0.5000
0.5482 0.6837 0.5000
0.6837 0.4518 0.5000
0.8163 0.9518 0.5000
0.9518 0.1837 0.5000
0.0000 0.0000 0.0000
0.5000 0.5000 0.0000



(12)
DyGaRu2 (PBE-GGA, optimized geometry); Fermi-level density of states = 16.527 states/eV per cell; ΔH_f (0 K) = 0.9 eV/f.u.
1.0
5.5280 0.0000 0.0000
0.0000 6.6035 0.0000
0.0000 0.0000 9.1562
Dy Ga Ru
4 4 8
direct
0.2500 0.0000 0.0953
0.2500 0.5000 0.2766
0.7500 0.0000 0.9047
0.7500 0.5000 0.7234
0.2500 0.0000 0.7505
0.2500 0.5000 0.7846
0.7500 0.0000 0.2495
0.7500 0.5000 0.2154
0.0000 0.0000 0.5000
0.0000 0.5000 0.0000
0.2500 0.3138 0.5476
0.2500 0.6862 0.5476
0.5000 0.0000 0.5000
0.5000 0.5000 0.0000
0.7500 0.3138 0.4524
0.7500 0.6862 0.4524



Number 1: calculated density 8.29 g/cm3, E -4.62 eV/atom, total magnetic moment 0.000 μB per atom. Number 2: calculated density 10.29 g/cm3, E -8.35 eV/atom, total magnetic moment 0.361 μB per atom. Number 3: calculated density 3.47 g/cm3, E -3.14 eV/atom, total magnetic moment 0.286 μB per atom. Number 4: calculated density 6.17 g/cm3, E -5.47 eV/atom, total magnetic moment 0.000 μB per atom. Number 5: calculated density 8.07 g/cm3, E -3.21 eV/atom, total magnetic moment 0.000 μB per atom. Number 6: calculated density 7.15 g/cm3, E -6.76 eV/atom, total magnetic moment 1.294 μB per atom. Number 7: calculated density 3.23 g/cm3, E -3.96 eV/atom, total magnetic moment 0.000 μB per atom. Number 8: calculated density 8.52 g/cm3, E -4.59 eV/atom, total magnetic moment 0.001 μB per atom. Number 9: calculated density 6.97 g/cm3, E -5.04 eV/atom, total magnetic moment 0.001 μB per atom. Number 10: calculated density 3.44 g/cm3, E -4.84 eV/atom, total magnetic moment 0.000 μB per atom. Number 11: calculated density 11.05 g/cm3, E -7.12 eV/atom, total magnetic moment 0.317 μB per atom. Number 12: calculated density 8.63 g/cm3, E -6.31 eV/atom, total magnetic moment 0.061 μB per atom.